# Er4ZnSe | Alexandria via LeMat-Bulk | PBE | optimized geometry
# volume = 25.41 A^3/atom
# energy relative to the elements, uncorrected = -55 kJ per mole of atoms
data_Er4ZnSe
_chemical_formula_sum 'Er8 Zn2 Se2'
_cell_length_a 6.002
_cell_length_b 6.428
_cell_length_c 8.435
_cell_angle_alpha 90.00
_cell_angle_beta 110.45
_cell_angle_gamma 90.00
_symmetry_space_group_name_H-M 'P 1 21/m 1'
_symmetry_Int_Tables_number 11
_symmetry_space_group_name_Hall '-P 2yb'
loop_
_atom_site_label
_atom_site_type_symbol
_atom_site_fract_x
_atom_site_fract_y
_atom_site_fract_z
Er1 Er 0.015 0.000 0.291
Er2 Er 0.397 0.250 0.068
Er3 Er 0.435 0.250 0.644
Zn1 Zn 0.306 0.750 0.586
Se1 Se 0.165 0.750 0.035